Record 1
{"formula": "CsPtF4", "functional": "PBE", "state": "optimized geometry", "m_tot_mub_per_fu": 1.02, "energy_ev_per_atom": -4.1683, "lattice": [[7.3537, 0.0000, 0.0000], [0.0000, 7.3537, 0.0000], [0.0000, 0.0000, 6.4762]], "species": ["Cs", "Cs", "Pt", "Pt", "F", "F", "F", "F", "F", "F", "F", "F"], "frac_coords": [[0.0000, 0.0000, 0.0000], [0.5000, 0.5000, 0.5000], [0.0000, 0.5000, 0.7500], [0.5000, 0.0000, 0.2500], [0.1863, 0.3137, 0.7500], [0.1863, 0.6863, 0.7500], [0.3137, 0.1863, 0.2500], [0.3137, 0.8137, 0.2500], [0.6863, 0.1863, 0.2500], [0.6863, 0.8137, 0.2500], [0.8137, 0.3137, 0.7500], [0.8137, 0.6863, 0.7500]]}

Record 2
{"formula": "CsRbSn2B", "functional": "PBE", "state": "optimized geometry", "m_tot_mub_per_fu": 0.00, "energy_ev_per_atom": -2.7777, "e_form_ev_per_atom": 0.523, "lattice": [[5.0275, 0.0000, 0.0000], [0.0000, 5.0275, 0.0000], [0.0000, 0.0000, 6.4114]], "species": ["Cs", "Rb", "Sn", "Sn", "B"], "frac_coords": [[0.0000, 0.0000, 0.0000], [0.5000, 0.5000, 0.0000], [0.0000, 0.5000, 0.5000], [0.5000, 0.0000, 0.5000], [0.0000, 0.0000, 0.5000]]}

Record 3
{"formula": "RbSn3C", "functional": "PBE", "state": "optimized geometry", "m_tot_mub_per_fu": 0.40, "e_above_lowest_polymorph_ev_per_atom": 1.745, "energy_ev_per_atom": -1.8241, "e_form_ev_per_atom": 2.616, "lattice": [[6.2326, 0.0000, 0.0000], [0.0000, 6.2326, 0.0000], [0.0000, 0.0000, 6.2326]], "species": ["Rb", "Sn", "Sn", "Sn", "C"], "frac_coords": [[0.0000, 0.0000, 0.0000], [0.0000, 0.0000, 0.5000], [0.0000, 0.5000, 0.0000], [0.5000, 0.0000, 0.0000], [0.5000, 0.5000, 0.5000]]}

Record 4
{"formula": "HgPPd2", "functional": "PBE", "state": "optimized geometry", "m_tot_mub_per_fu": 0.00, "e_above_lowest_polymorph_ev_per_atom": 0.106, "energy_ev_per_atom": -4.1048, "e_form_ev_per_atom": -0.080, "lattice": [[7.1462, 0.0000, 0.0000], [0.0000, 7.1462, 0.0000], [0.0000, 0.0000, 5.6438]], "species": ["Hg", "Hg", "Hg", "Hg", "P", "P", "P", "P", "Pd", "Pd", "Pd", "Pd", "Pd", "Pd", "Pd", "Pd"], "frac_coords": [[0.0000, 0.0000, 0.0000], [0.0000, 0.5000, 0.2500], [0.5000, 0.0000, 0.7500], [0.5000, 0.5000, 0.5000], [0.0000, 0.0000, 0.5000], [0.0000, 0.5000, 0.7500], [0.5000, 0.0000, 0.2500], [0.5000, 0.5000, 0.0000], [0.1810, 0.2500, 0.6250], [0.2500, 0.6810, 0.8750], [0.2500, 0.8190, 0.3750], [0.3190, 0.2500, 0.1250], [0.6810, 0.7500, 0.1250], [0.7500, 0.1810, 0.3750], [0.7500, 0.3190, 0.8750], [0.8190, 0.7500, 0.6250]]}

Record 5
{"formula": "CsZnCd3", "functional": "PBE", "state": "optimized geometry", "m_tot_mub_per_fu": 0.00, "e_above_lowest_polymorph_ev_per_atom": 0.000, "energy_ev_per_atom": -0.9710, "e_form_ev_per_atom": 0.004, "lattice": [[9.4003, 0.0000, 0.0000], [0.0000, 6.9057, 0.0000], [-3.8149, 0.0000, 9.5376]], "species": ["Cs", "Cs", "Cs", "Cs", "Zn", "Zn", "Zn", "Zn", "Cd", "Cd", "Cd", "Cd", "Cd", "Cd", "Cd", "Cd", "Cd", "Cd", "Cd", "Cd"], "frac_coords": [[0.1237, 0.0034, 0.2057], [0.1237, 0.4966, 0.7057], [0.8763, 0.5034, 0.2943], [0.8763, 0.9966, 0.7943], [0.4444, 0.6599, 0.0502], [0.4444, 0.8401, 0.5502], [0.5556, 0.1599, 0.4498], [0.5556, 0.3401, 0.9498], [0.1710, 0.5110, 0.0851], [0.1710, 0.9890, 0.5851], [0.3284, 0.0165, 0.9007], [0.3284, 0.4835, 0.4007], [0.4630, 0.2166, 0.6766], [0.4630, 0.2834, 0.1766], [0.5370, 0.7166, 0.8234], [0.5370, 0.7834, 0.3234], [0.6716, 0.5165, 0.5993], [0.6716, 0.9835, 0.0993], [0.8290, 0.0110, 0.4149], [0.8290, 0.4890, 0.9149]]}

Record 6
{"formula": "DyMg", "functional": "PBE", "state": "optimized geometry", "m_tot_mub_per_fu": 0.00, "energy_ev_per_atom": -3.1791, "e_form_ev_per_atom": -0.081, "lattice": [[3.7870, 0.0000, 0.0000], [0.0000, 3.7870, 0.0000], [0.0000, 0.0000, 3.7870]], "species": ["Dy", "Mg"], "frac_coords": [[0.0000, 0.0000, 0.0000], [0.5000, 0.5000, 0.5000]]}